An optimized crystal structure of Nb5Si2Ge2, computed with PBE.

abc: 7.4509 7.4509 6.7224
angles: 90.00 90.00 54.58
Closest atoms and distances in Å follow each position.
Atoms (fractional coordinates):
Nb 0.0000 0.0000 0.0000  4 Si 2.66-2.69, 2 Ge 2.77
Nb 0.0357 0.7043 0.6695  3 Si 2.62-2.65, 3 Ge 2.67-2.76
Nb 0.2043 0.5357 0.1695  3 Si 2.62-2.65, 3 Ge 2.67-2.76
Nb 0.2957 0.9643 0.6695  3 Si 2.62-2.65, 3 Ge 2.67-2.76
Nb 0.4643 0.7957 0.1695  3 Si 2.62-2.65, 3 Ge 2.67-2.76
Nb 0.5000 0.5000 0.5000  4 Si 2.66-2.69, 2 Ge 2.77
Nb 0.5357 0.2043 0.8305  3 Si 2.62-2.65, 3 Ge 2.67-2.76
Nb 0.7043 0.0357 0.3305  3 Si 2.62-2.65, 3 Ge 2.67-2.76
Nb 0.7957 0.4643 0.8305  3 Si 2.62-2.65, 3 Ge 2.67-2.76
Nb 0.9643 0.2957 0.3305  3 Si 2.62-2.65, 3 Ge 2.67-2.76
Si 0.1268 0.8732 0.3740  1 Si 2.42, 8 Nb 2.62-2.69
Si 0.3732 0.6268 0.8740  1 Si 2.42, 8 Nb 2.62-2.69
Si 0.6268 0.3732 0.1260  1 Si 2.42, 8 Nb 2.62-2.69
Si 0.8732 0.1268 0.6260  1 Si 2.42, 8 Nb 2.62-2.69
Ge 0.2091 0.2091 0.0000  7 Nb 2.67-2.77
Ge 0.2909 0.2909 0.5000  7 Nb 2.67-2.77
Ge 0.7091 0.7091 0.5000  7 Nb 2.67-2.77
Ge 0.7909 0.7909 0.0000  7 Nb 2.67-2.77

The energy relative to the elements, uncorrected comes out at -4.8 eV per formula unit. For the density of states at the Fermi level, the calculation gives 0.663 states/eV per atom. The calculation puts the size of the total moment at 0.0 μB per cell.